Here is an optimized crystal structure of Sm2Dy5Y4 from Alexandria via LeMat-Bulk. Energies are from GGA-PBE.

abc: 6.659 6.659 9.304
angles: 104.86 104.86 66.80
Sites, in units of the cell vectors:
1 Sm 0.146 0.146 0.123
2 Sm 0.854 0.854 0.877
3 Dy 0.000 0.000 0.500
4 Dy 0.214 0.654 0.221
5 Dy 0.346 0.786 0.779
6 Dy 0.654 0.214 0.221
7 Dy 0.786 0.346 0.779
8 Y 0.320 0.320 0.500
9 Y 0.327 0.327 0.874
10 Y 0.673 0.673 0.126
11 Y 0.680 0.680 0.500

Values from the calculation:
E_tot, eV/cell: -56.9
Energy of formation, meV/atom: 131
Space-group type: C2/m
Magnetic moment, μB per cell: 0.00
Crystal system: monoclinic

***

Here is an optimized crystal structure of TaAl3Au from Alexandria via LeMat-Bulk. Energies are from GGA-PBE.

abc: 4.737 4.737 4.737
angles: 90.00 90.00 90.00
Sites, in units of the cell vectors:
1 Ta 0.000 0.000 0.000
2 Al 0.000 0.500 0.500
3 Al 0.500 0.000 0.500
4 Al 0.500 0.500 0.000
5 Au 0.500 0.500 0.500

Values from the calculation:
E_tot, eV/cell: -22.2
Energy of formation, meV/atom: 827
Space-group type: Pm-3m
Magnetic moment, μB per cell: 1.05
Crystal system: cubic

***

Here is an optimized crystal structure of DyVOs from Alexandria via LeMat-Bulk. Energies are from GGA-PBE.

abc: 7.755 7.755 4.402
angles: 90.00 90.00 152.51
Sites, in units of the cell vectors:
1 Dy 0.083 0.917 0.750
2 Dy 0.917 0.083 0.250
3 V 0.254 0.746 0.250
4 V 0.746 0.254 0.750
5 Os 0.346 0.654 0.750
6 Os 0.654 0.346 0.250

Values from the calculation:
E_tot, eV/cell: -50.2
Energy of formation, meV/atom: -54
Space-group type: Cmcm
Magnetic moment, μB per cell: 0.00
Crystal system: orthorhombic

***

Here is an optimized crystal structure of TbHo2Ru3 from Alexandria via LeMat-Bulk. Energies are from GGA-PBE.

abc: 3.399 3.399 10.137
angles: 90.00 90.00 90.00
Sites, in units of the cell vectors:
1 Tb 0.000 0.000 0.000
2 Ho 0.000 0.000 0.334
3 Ho 0.000 0.000 0.666
4 Ru 0.500 0.500 0.168
5 Ru 0.500 0.500 0.500
6 Ru 0.500 0.500 0.832

Values from the calculation:
E_tot, eV/cell: -43.6
Energy of formation, meV/atom: -335
Space-group type: P4/mmm
Magnetic moment, μB per cell: 0.00
Crystal system: tetragonal

***

Here is an optimized crystal structure of He from Alexandria via LeMat-Bulk. Energies are from GGA-PBE.

abc: 2.682 2.682 2.682
angles: 109.47 109.47 109.47
Sites, in units of the cell vectors:
1 He 0.000 0.000 0.000

Values from the calculation:
E_tot, eV/cell: 0.0
Energy of formation, meV/atom: 0
Space-group type: Im-3m
Magnetic moment, μB per cell: 0.00
Crystal system: cubic

***

Here is an optimized crystal structure of NdHoTm2Sc from Alexandria via LeMat-Bulk. Energies are from GGA-PBE.

abc: 6.910 6.910 7.065
angles: 90.00 90.00 107.90
Sites, in units of the cell vectors:
1 Nd 0.230 0.770 0.750
2 Nd 0.770 0.230 0.250
3 Ho 0.231 0.769 0.250
4 Ho 0.769 0.231 0.750
5 Tm 0.196 0.196 0.000
6 Tm 0.196 0.196 0.500
7 Tm 0.804 0.804 0.000
8 Tm 0.804 0.804 0.500
9 Sc 0.496 0.504 0.750
10 Sc 0.504 0.496 0.250

Values from the calculation:
E_tot, eV/cell: -45.9
Energy of formation, meV/atom: 330
Space-group type: Cmcm
Magnetic moment, μB per cell: 0.00
Crystal system: orthorhombic

***

Here is an optimized crystal structure of ZrTlSi2 from Alexandria via LeMat-Bulk. Energies are from GGA-PBE.

abc: 2.984 4.570 5.862
angles: 90.00 90.11 90.00
Sites, in units of the cell vectors:
1 Zr 0.000 0.000 0.000
2 Tl 0.499 0.500 0.676
3 Si 0.501 0.500 0.155
4 Si 0.502 0.000 0.399

Values from the calculation:
E_tot, eV/cell: -21.3
Space-group type: Pm
Magnetic moment, μB per cell: 0.00
Crystal system: monoclinic

***

Here is an optimized crystal structure of Zr2AuSe from Alexandria via LeMat-Bulk. Energies are from GGA-PBE.

abc: 7.578 7.578 7.578
angles: 154.09 153.10 37.70
Sites, in units of the cell vectors:
1 Zr 0.000 0.000 0.000
2 Zr 0.772 0.272 0.500
3 Au 0.166 0.666 0.500
4 Se 0.416 0.416 0.000

Values from the calculation:
E_tot, eV/cell: -26.8
Space-group type: Imm2
Magnetic moment, μB per cell: 0.00
Crystal system: orthorhombic